1.
VASP calculation (PBE) on a geometry-optimized BaInTc2 structure.

Lattice parameters (Å, degrees): 3.6099 5.0987 6.1667 90.00 96.74 90.00
Closest atoms and distances in Å follow each position.
Fractional coordinates of all 4 atoms:
Ba1 0.0000 0.0000 0.0000  4 In 3.38-3.75, 2 Ba 3.61, 4 Tc 3.68
In1 0.5000 0.0000 0.5000  4 Tc 2.80
Tc1 0.2757 0.5000 0.6190  2 Tc 2.31-2.33
Tc2 0.7243 0.5000 0.3810  2 Tc 2.31-2.33

Results
* polymorph energy (0 for the lowest one): 140 kJ/mol of formula units
* VASP energy: -23.089 eV/f.u.
* space-group type: P2/m
* total magnetic moment: 0.00 μB/f.u.
* calculated volume: 112.7 Å³/cell

=====

2.
VASP calculation (PBE) on a geometry-optimized BaIn4Tc structure.

Lattice parameters (Å, degrees): 6.0883 6.0883 6.0883 60.00 60.00 60.00
Closest atoms and distances in Å follow each position.
Fractional coordinates of all 6 atoms:
Ba1 0.0000 0.0000 0.0000  12 In 3.57, 4 Tc 3.73
In1 0.1276 0.6241 0.6241  6 In 3.02-3.07
In2 0.6241 0.1276 0.6241  6 In 3.02-3.07
In3 0.6241 0.6241 0.1276  6 In 3.02-3.07
In4 0.6241 0.6241 0.6241  6 In 3.02-3.07
Tc1 0.2500 0.2500 0.2500  12 In 3.57, 4 Ba 3.73

Results
* VASP energy: -21.097 eV/f.u.
* space-group type: F-43m
* total magnetic moment: 1.90 μB/f.u.
* calculated volume: 159.6 Å³/cell